(1)
VASP calculation (PBE) on crystalline Ce2Th3S8 at its relaxed geometry.

Summary:
density: 5.39 Mg/m³
N(E_F): 18.4 states/eV/cell
uncorrected formation energy: -1.85 eV per atom

Cell lengths 6.829, 8.258, 8.263 Å; angles 119.98, 107.08, 90.00 degrees
Fractional coordinates of all 13 atoms:
Ce  0.340  0.263  0.527
Ce  0.660  0.737  0.473
Th  0.500  0.000  0.000
Th  0.000  0.256  0.000
Th  0.000  0.744  0.000
S  0.912  0.612  0.223
S  0.088  0.388  0.777
S  0.927  0.118  0.235
S  0.073  0.882  0.765
S  0.583  0.645  0.749
S  0.583  0.104  0.749
S  0.417  0.896  0.251
S  0.417  0.355  0.251


(2)
VASP calculation (PBE) on crystalline NaAl6Au12 at its relaxed geometry.

Summary:
energy of formation: -0.29 eV/atom
density: 12.49 Mg/m³
N(E_F): 5.1 states/eV/cell

Cell lengths 7.812, 7.540, 7.540 Å; angles 71.27, 69.80, 110.20 degrees
Fractional coordinates of all 19 atoms:
Na  0.000  0.000  0.000
Al  0.465  0.478  0.233
Al  0.013  0.711  0.522
Al  0.302  0.767  0.711
Al  0.535  0.522  0.767
Al  0.987  0.289  0.478
Al  0.698  0.233  0.289
Au  0.521  0.888  0.277
Au  0.633  0.835  0.888
Au  0.798  0.277  0.835
Au  0.479  0.112  0.723
Au  0.367  0.165  0.112
Au  0.202  0.723  0.165
Au  0.258  0.445  0.616
Au  0.125  0.384  0.062
Au  0.187  0.062  0.555
Au  0.742  0.555  0.384
Au  0.875  0.616  0.938
Au  0.813  0.938  0.445


(3)
VASP calculation (PBE) on crystalline Na2P4Rh5 at its relaxed geometry.

Summary:
energy of formation: -0.56 eV/atom
density: 6.04 Mg/m³
N(E_F): 4.5 states/eV/cell

Cell lengths 5.602, 5.826, 7.149 Å; angles 79.14, 66.93, 61.26 degrees
Fractional coordinates of all 11 atoms:
Na  0.873  0.000  0.254
Na  0.127  0.000  0.746
P  0.471  0.316  0.742
P  0.529  0.684  0.258
P  0.213  0.316  0.258
P  0.787  0.684  0.742
Rh  0.500  0.000  0.000
Rh  0.000  0.500  0.000
Rh  0.500  0.500  0.000
Rh  0.250  0.500  0.500
Rh  0.750  0.500  0.500


(4)
VASP calculation (PBE) on crystalline KAgCl3 at its relaxed geometry.

Summary:
density: 2.76 Mg/m³
N(E_F): 6.0 states/eV/cell
uncorrected formation energy: -0.93 eV per atom

Cell lengths 6.499, 6.874, 7.596 Å; angles 90.00, 115.93, 90.00 degrees
Fractional coordinates of all 10 atoms:
K  0.280  0.250  0.559
K  0.720  0.750  0.441
Ag  0.971  0.250  0.941
Ag  0.029  0.750  0.059
Cl  0.730  0.499  0.998
Cl  0.270  0.501  0.002
Cl  0.730  0.001  0.998
Cl  0.270  0.999  0.002
Cl  0.771  0.250  0.542
Cl  0.229  0.750  0.458


(5)
VASP calculation (PBE) on crystalline KLaIn2Ge at its relaxed geometry.

Summary:
energy of formation: 0.27 eV/atom
density: 4.75 Mg/m³
N(E_F): 2.5 states/eV/cell

Cell lengths 5.455, 5.649, 5.455 Å; angles 90.00, 90.00, 90.00 degrees
Fractional coordinates of all 5 atoms:
Ge  0.000  0.000  0.000
In  0.000  0.000  0.500
In  0.500  0.000  0.000
K  0.000  0.500  0.000
La  0.500  0.500  0.500


(6)
VASP calculation (PBE) on crystalline Ac2DyCd at its relaxed geometry.

Summary:
energy of formation: 0.20 eV/atom
density: 7.63 Mg/m³
energy relative to the lowest polymorph listed for this composition: 0.302 eV/atom
N(E_F): 5.0 states/eV/cell

Cell lengths 3.769, 3.769, 13.084 Å; angles 81.72, 81.72, 60.00 degrees
Fractional coordinates of all 4 atoms:
Ac  0.090  0.090  0.731
Ac  0.910  0.910  0.269
Cd  0.000  0.000  0.000
Dy  0.500  0.500  0.500


(7)
VASP calculation (PBE) on crystalline K2TaAs at its relaxed geometry.

Summary:
energy of formation: 0.76 eV/atom
density: 5.46 Mg/m³
N(E_F): 3.2 states/eV/cell

Cell lengths 5.958, 3.183, 5.759 Å; angles 68.35, 90.00, 90.00 degrees
Fractional coordinates of all 4 atoms:
As  0.500  0.750  0.750
K  0.000  0.891  0.987
K  0.000  0.609  0.513
Ta  0.500  0.250  0.250


(8)
VASP calculation (PBE) on crystalline V2CrNi2 at its relaxed geometry.

Summary:
energy of formation: 0.09 eV/atom
density: 7.30 Mg/m³
energy relative to the lowest polymorph listed for this composition: 0.000 eV/atom
N(E_F): 12.7 states/eV/cell

Cell lengths 7.043, 7.043, 2.488 Å; angles 90.00, 90.00, 90.00 degrees
Fractional coordinates of all 10 atoms:
Ni  0.378  0.878  0.000
Ni  0.878  0.622  0.000
Ni  0.622  0.122  0.000
Ni  0.122  0.378  0.000
Cr  0.000  0.000  0.000
Cr  0.500  0.500  0.000
V  0.175  0.675  0.500
V  0.675  0.825  0.500
V  0.825  0.325  0.500
V  0.325  0.175  0.500


(9)
VASP calculation (PBE) on crystalline Li4P2Ru at its relaxed geometry.

Summary:
energy of formation: 0.34 eV/atom
density: 2.56 Mg/m³
N(E_F): 3.1 states/eV/cell

Cell lengths 4.547, 4.547, 6.788 Å; angles 70.43, 70.43, 90.00 degrees
Fractional coordinates of all 7 atoms:
Ru  0.000  0.000  0.000
Li  0.793  0.793  0.414
Li  0.207  0.207  0.586
Li  0.000  0.500  0.000
Li  0.500  0.000  0.000
P  0.590  0.590  0.820
P  0.410  0.410  0.180


(10)
VASP calculation (PBE) on crystalline AcLa2Pd at its relaxed geometry.

Summary:
energy of formation: -0.35 eV/atom
density: 7.75 Mg/m³
energy relative to the lowest polymorph listed for this composition: 0.078 eV/atom
N(E_F): 6.2 states/eV/cell

Cell lengths 3.768, 3.768, 9.226 Å; angles 90.00, 90.00, 90.00 degrees
Fractional coordinates of all 4 atoms:
Ac  0.500  0.500  0.500
Pd  0.500  0.500  0.000
La  0.000  0.000  0.813
La  0.000  0.000  0.187


(11)
VASP calculation (PBE) on crystalline Y2ScHg at its relaxed geometry.

Summary:
energy of formation: -0.19 eV/atom
density: 6.51 Mg/m³
N(E_F): 6.1 states/eV/cell

Cell lengths 3.942, 3.940, 6.950 Å; angles 90.00, 90.00, 90.00 degrees
Fractional coordinates of all 4 atoms:
Y  0.000  0.000  0.003
Y  0.000  0.000  0.497
Sc  0.500  0.500  0.750
Hg  0.500  0.500  0.250


(12)
VASP calculation (PBE) on crystalline PRuSe2 at its relaxed geometry.

Summary:
density: 5.36 Mg/m³
N(E_F): 3.2 states/eV/cell
uncorrected formation energy: -0.18 eV per atom

Cell lengths 4.255, 4.255, 6.768 Å; angles 72.46, 72.46, 51.12 degrees
Fractional coordinates of all 4 atoms:
P  0.395  0.395  0.626
Ru  0.697  0.697  0.624
Se  0.120  0.120  0.908
Se  0.288  0.288  0.341


(13)
VASP calculation (PBE) on crystalline NaBi2B2O6 at its relaxed geometry.

Summary:
density: 5.15 Mg/m³
N(E_F): 4.7 states/eV/cell
uncorrected formation energy: -1.66 eV per atom

Cell lengths 5.264, 5.264, 7.510 Å; angles 90.00, 90.00, 120.00 degrees
Fractional coordinates of all 11 atoms:
Na  0.000  0.000  0.000
Bi  0.333  0.667  0.701
Bi  0.667  0.333  0.299
B  0.333  0.667  0.201
B  0.667  0.333  0.799
O  0.386  0.295  0.797
O  0.908  0.614  0.797
O  0.705  0.092  0.797
O  0.614  0.705  0.203
O  0.092  0.386  0.203
O  0.295  0.908  0.203


(14)
VASP calculation (PBE) on crystalline Cr3IrAu at its relaxed geometry.

Summary:
energy of formation: 1.43 eV/atom
density: 9.98 Mg/m³
energy relative to the lowest polymorph listed for this composition: 0.000 eV/atom
N(E_F): 8.5 states/eV/cell

Cell lengths 4.493, 4.493, 4.493 Å; angles 90.00, 90.00, 90.00 degrees
Fractional coordinates of all 5 atoms:
Cr  0.000  0.500  0.000
Cr  0.000  0.000  0.500
Cr  0.500  0.000  0.000
Ir  0.000  0.000  0.000
Au  0.500  0.500  0.500


(15)
VASP calculation (PBE) on crystalline ReNiOs2 at its relaxed geometry.

Summary:
energy of formation: 0.34 eV/atom
density: 18.81 Mg/m³
energy relative to the lowest polymorph listed for this composition: 0.235 eV/atom
N(E_F): 4.0 states/eV/cell

Cell lengths 5.164, 5.164, 5.164 Å; angles 148.01, 130.26, 60.37 degrees
Fractional coordinates of all 4 atoms:
Ni  0.250  0.750  0.500
Os  0.022  0.022  0.000
Os  0.752  0.252  0.500
Re  0.476  0.476  0.000


(16)
VASP calculation (PBE) on crystalline LaPm2CrN4 at its relaxed geometry.

Summary:
density: 7.12 Mg/m³
N(E_F): 7.1 states/eV/cell
uncorrected formation energy: -1.12 eV per atom

Cell lengths 3.502, 6.200, 12.026 Å; angles 90.00, 90.00, 106.40 degrees
Fractional coordinates of all 16 atoms:
La  0.095  0.190  0.750
La  0.905  0.810  0.250
Pm  0.368  0.737  0.544
Pm  0.632  0.263  0.044
Pm  0.632  0.263  0.456
Pm  0.368  0.737  0.956
Cr  0.829  0.659  0.750
Cr  0.171  0.341  0.250
N  0.267  0.535  0.133
N  0.733  0.465  0.633
N  0.733  0.465  0.867
N  0.267  0.535  0.367
N  0.000  0.000  0.500
N  0.000  0.000  0.000
N  0.414  0.828  0.750
N  0.586  0.172  0.250


(17)
VASP calculation (PBE) on crystalline EuZnGe at its relaxed geometry.

Summary:
energy of formation: -0.38 eV/atom
density: 6.47 Mg/m³
N(E_F): 9.9 states/eV/cell

Cell lengths 4.722, 4.722, 4.722 Å; angles 60.00, 60.00, 60.00 degrees
Fractional coordinates of all 3 atoms:
Eu  0.500  0.500  0.500
Ge  0.250  0.250  0.250
Zn  0.000  0.000  0.000


(18)
VASP calculation (PBE) on crystalline AlTePI2 at its relaxed geometry.

Summary:
density: 4.43 Mg/m³
energy relative to the lowest polymorph listed for this composition: 0.000 eV/atom
N(E_F): 3.5 states/eV/cell
uncorrected formation energy: 0.36 eV per atom

Cell lengths 5.513, 5.513, 5.417 Å; angles 90.00, 90.00, 90.00 degrees
Fractional coordinates of all 5 atoms:
I  0.000  0.500  0.000
I  0.500  0.000  0.000
P  0.000  0.000  0.000
Te  0.000  0.000  0.500
Al  0.500  0.500  0.500


(19)
VASP calculation (PBE) on crystalline Ca8Ag3Pt2 at its relaxed geometry.

Summary:
energy of formation: -0.47 eV/atom
density: 4.61 Mg/m³
N(E_F): 6.2 states/eV/cell

Cell lengths 5.067, 8.849, 8.848 Å; angles 69.80, 90.00, 90.00 degrees
Fractional coordinates of all 13 atoms:
Ca  0.000  0.370  0.370
Ca  0.000  0.630  0.630
Ca  0.000  0.865  0.865
Ca  0.000  0.135  0.135
Ca  0.500  0.384  0.880
Ca  0.500  0.879  0.384
Ca  0.500  0.121  0.616
Ca  0.500  0.616  0.120
Ag  0.500  0.000  0.000
Ag  0.000  0.757  0.243
Ag  0.000  0.243  0.757
Pt  0.500  0.750  0.750
Pt  0.500  0.250  0.250


(20)
VASP calculation (PBE) on crystalline Ac2Mg3HgGe4 at its relaxed geometry.

Summary:
energy of formation: -0.43 eV/atom
density: 6.97 Mg/m³
N(E_F): 2.0 states/eV/cell

Cell lengths 4.738, 4.738, 10.800 Å; angles 90.00, 90.00, 90.00 degrees
Fractional coordinates of all 10 atoms:
Ac  0.500  0.000  0.236
Ac  0.000  0.500  0.764
Mg  0.000  0.000  0.500
Mg  0.500  0.000  0.887
Mg  0.000  0.500  0.113
Hg  0.500  0.500  0.500
Ge  0.500  0.500  0.000
Ge  0.000  0.000  0.000
Ge  0.500  0.000  0.645
Ge  0.000  0.500  0.355


(21)
VASP calculation (PBE) on crystalline SrZrTa2 at its relaxed geometry.

Summary:
energy of formation: 0.74 eV/atom
density: 9.25 Mg/m³
energy relative to the lowest polymorph listed for this composition: 0.327 eV/atom
N(E_F): 5.4 states/eV/cell

Cell lengths 6.200, 6.200, 6.200 Å; angles 149.67, 125.42, 63.72 degrees
Fractional coordinates of all 4 atoms:
Sr  0.761  0.261  0.500
Ta  0.036  0.036  0.000
Ta  0.233  0.733  0.500
Zr  0.470  0.470  0.000


(22)
VASP calculation (PBE) on crystalline LiZr2Au at its relaxed geometry.

Summary:
energy of formation: -0.19 eV/atom
density: 8.35 Mg/m³
N(E_F): 4.2 states/eV/cell

Cell lengths 4.251, 4.255, 4.250 Å; angles 90.00, 90.00, 90.00 degrees
Fractional coordinates of all 4 atoms:
Au  0.500  0.000  0.500
Li  0.000  0.500  0.500
Zr  0.000  0.000  0.000
Zr  0.500  0.500  0.000


(23)
VASP calculation (PBE) on crystalline Rb2ReAsI6 at its relaxed geometry.

Summary:
density: 4.89 Mg/m³
N(E_F): 5.5 states/eV/cell
uncorrected formation energy: -0.32 eV per atom

Cell lengths 8.310, 8.310, 8.302 Å; angles 59.97, 59.97, 90.00 degrees
Fractional coordinates of all 10 atoms:
I  0.240  0.240  0.519
I  0.760  0.760  0.481
I  0.240  0.240  0.000
I  0.760  0.760  0.000
I  0.760  0.240  0.000
I  0.240  0.760  0.000
Re  0.000  0.000  0.000
As  0.500  0.500  0.000
Rb  0.750  0.250  0.500
Rb  0.250  0.750  0.500


(24)
VASP calculation (PBE) on crystalline In2FeRh at its relaxed geometry.

Summary:
energy of formation: 0.33 eV/atom
density: 8.52 Mg/m³
N(E_F): 5.0 states/eV/cell

Cell lengths 7.283, 7.283, 5.888 Å; angles 51.79, 51.79, 90.00 degrees
Fractional coordinates of all 8 atoms:
Rh  0.000  0.000  0.000
Rh  0.750  0.250  0.500
Fe  0.500  0.500  0.000
Fe  0.250  0.750  0.500
In  0.625  0.125  0.250
In  0.125  0.625  0.250
In  0.375  0.375  0.750
In  0.875  0.875  0.750


(25)
VASP calculation (PBE) on crystalline NaSnCl4 at its relaxed geometry.

Summary:
density: 2.40 Mg/m³
N(E_F): 7.1 states/eV/cell
uncorrected formation energy: -1.11 eV per atom

Cell lengths 6.839, 7.092, 8.078 Å; angles 90.00, 90.00, 90.00 degrees
Fractional coordinates of all 12 atoms:
Na  0.055  0.970  0.000
Na  0.555  0.030  0.500
Sn  0.480  0.355  0.000
Sn  0.980  0.645  0.500
Cl  0.346  0.681  0.000
Cl  0.845  0.316  0.000
Cl  0.323  0.171  0.769
Cl  0.823  0.829  0.731
Cl  0.345  0.684  0.500
Cl  0.846  0.319  0.500
Cl  0.823  0.829  0.269
Cl  0.323  0.171  0.231